No. 1
Entry from the Alexandria database: crystalline Tm5In2Co2Rh at its relaxed geometry (GGA-PBE).

Lattice parameters (Å, degrees): 11.2671 11.2671 3.4275 90.00 90.00 90.00
Element x y z (fractional)
Tm (0.0000, 0.5000, 0.0000)
Tm (0.0677, 0.2000, 0.0000)
Tm (0.2000, 0.9323, 0.0000)
Tm (0.3000, 0.4323, 0.0000)
Tm (0.4323, 0.7000, 0.0000)
Tm (0.5000, 0.0000, 0.0000)
Tm (0.5677, 0.3000, 0.0000)
Tm (0.7000, 0.5677, 0.0000)
Tm (0.8000, 0.0677, 0.0000)
Tm (0.9323, 0.8000, 0.0000)
In (0.1777, 0.6777, 0.5000)
In (0.3223, 0.1777, 0.5000)
In (0.6777, 0.8223, 0.5000)
In (0.8223, 0.3223, 0.5000)
Co (0.1348, 0.3652, 0.5000)
Co (0.3652, 0.8652, 0.5000)
Co (0.6348, 0.1348, 0.5000)
Co (0.8652, 0.6348, 0.5000)
Rh (0.0000, 0.0000, 0.5000)
Rh (0.5000, 0.5000, 0.5000)

Summary:
- Fermi-level density of states (states/eV per cell) = 10.1
- energy of formation from the pure elements (eV per atom) = -0.4389
- calculated total energy (eV/atom) = -5.379

***

No. 2
Entry from the Alexandria database: crystalline Er2VPd at its relaxed geometry (GGA-PBE).

Lattice parameters (Å, degrees): 3.5463 3.5463 6.8364 90.00 90.00 90.00
Element x y z (fractional)
Er (0.0000, 0.0000, 0.2468)
Er (0.0000, 0.0000, 0.7532)
V (0.5000, 0.5000, 0.5000)
Pd (0.5000, 0.5000, 0.0000)

Summary:
- Fermi-level density of states (states/eV per cell) = 2.9
- energy of formation from the pure elements (eV per atom) = -0.2840
- E above lowest polymorph (meV per atom) = 0
- calculated total energy (eV/atom) = -6.143

***

No. 3
Entry from the Alexandria database: crystalline Y2MgSb at its relaxed geometry (GGA-PBE).

Lattice parameters (Å, degrees): 7.5353 7.5353 7.5353 90.00 90.00 90.00
Element x y z (fractional)
Y (0.2500, 0.2500, 0.2500)
Y (0.2500, 0.2500, 0.7500)
Y (0.2500, 0.7500, 0.2500)
Y (0.2500, 0.7500, 0.7500)
Y (0.7500, 0.2500, 0.2500)
Y (0.7500, 0.2500, 0.7500)
Y (0.7500, 0.7500, 0.2500)
Y (0.7500, 0.7500, 0.7500)
Mg (0.0000, 0.0000, 0.0000)
Mg (0.0000, 0.5000, 0.5000)
Mg (0.5000, 0.0000, 0.5000)
Mg (0.5000, 0.5000, 0.0000)
Sb (0.0000, 0.0000, 0.5000)
Sb (0.0000, 0.5000, 0.0000)
Sb (0.5000, 0.0000, 0.0000)
Sb (0.5000, 0.5000, 0.5000)

Summary:
- Fermi-level density of states (states/eV per cell) = 22.5
- E above lowest polymorph (meV per atom) = 172
- formation energy from raw total energies (eV per atom) = -0.423
- calculated total energy (eV/atom) = -5.084

***

No. 4
Entry from the Alexandria database: crystalline YAgAu4 at its relaxed geometry (GGA-PBE).

Lattice parameters (Å, degrees): 4.7468 4.7468 6.2020 90.00 90.00 120.00
Element x y z (fractional)
Y (0.0000, 0.0000, 0.0000)
Ag (0.0000, 0.0000, 0.5000)
Au (0.3333, 0.6667, 0.2618)
Au (0.3333, 0.6667, 0.7382)
Au (0.6667, 0.3333, 0.2618)
Au (0.6667, 0.3333, 0.7382)

Summary:
- Fermi-level density of states (states/eV per cell) = 1.7
- energy of formation from the pure elements (eV per atom) = -0.4199
- E above lowest polymorph (meV per atom) = 0
- calculated total energy (eV/atom) = -4.157

***

No. 5
Entry from the Alexandria database: crystalline CrIn4Hg at its relaxed geometry (GGA-PBE).

Lattice parameters (Å, degrees): 6.0942 6.0942 6.0942 60.00 60.00 60.00
Element x y z (fractional)
Cr (0.0000, 0.0000, 0.0000)
In (0.3747, 0.3747, 0.3747)
In (0.3747, 0.3747, 0.8759)
In (0.3747, 0.8759, 0.3747)
In (0.8759, 0.3747, 0.3747)
Hg (0.7500, 0.7500, 0.7500)

Summary:
- Fermi-level density of states (states/eV per cell) = 3.1
- energy of formation from the pure elements (eV per atom) = 0.4220
- calculated total energy (eV/atom) = -3.058

***

No. 6
Entry from the Alexandria database: crystalline SmYSc at its relaxed geometry (GGA-PBE).

Lattice parameters (Å, degrees): 3.3873 3.3873 27.7161 90.00 90.00 120.00
Element x y z (fractional)
Sm (0.0000, 0.0000, 0.0000)
Sm (0.3333, 0.6667, 0.6667)
Sm (0.6667, 0.3333, 0.3333)
Y (0.0000, 0.0000, 0.1228)
Y (0.3333, 0.6667, 0.7895)
Y (0.6667, 0.3333, 0.4562)
Sc (0.0000, 0.0000, 0.2373)
Sc (0.3333, 0.6667, 0.9039)
Sc (0.6667, 0.3333, 0.5706)

Summary:
- Fermi-level density of states (states/eV per cell) = 14.9
- energy of formation from the pure elements (eV per atom) = 0.2627
- E above lowest polymorph (meV per atom) = 216
- calculated total energy (eV/atom) = -5.576

***

No. 7
Entry from the Alexandria database: crystalline KIr2Au at its relaxed geometry (GGA-PBE).

Lattice parameters (Å, degrees): 2.7447 5.3870 10.9795 90.00 90.00 90.00
Element x y z (fractional)
K (0.0000, 0.0000, 0.0000)
K (0.5000, 0.5000, 0.5000)
Ir (0.0000, 0.0000, 0.5134)
Ir (0.0000, 0.5000, 0.2049)
Ir (0.5000, 0.0000, 0.7049)
Ir (0.5000, 0.5000, 0.0134)
Au (0.0000, 0.5000, 0.7899)
Au (0.5000, 0.0000, 0.2899)

Summary:
- Fermi-level density of states (states/eV per cell) = 10.5
- energy of formation from the pure elements (eV per atom) = 0.6738
- E above lowest polymorph (meV per atom) = 361
- calculated total energy (eV/atom) = -4.850

***

No. 8
Entry from the Alexandria database: crystalline La15NdCd4 at its relaxed geometry (GGA-PBE).

Lattice parameters (Å, degrees): 5.1045 5.1045 25.5671 90.00 90.00 90.00
Element x y z (fractional)
La (0.0000, 0.0000, 0.0000)
La (0.0000, 0.0000, 0.2024)
La (0.0000, 0.0000, 0.4014)
La (0.0000, 0.0000, 0.5986)
La (0.0000, 0.0000, 0.7976)
La (0.0000, 0.5000, 0.1040)
La (0.0000, 0.5000, 0.3025)
La (0.0000, 0.5000, 0.5000)
La (0.0000, 0.5000, 0.6975)
La (0.0000, 0.5000, 0.8960)
La (0.5000, 0.0000, 0.1040)
La (0.5000, 0.0000, 0.3025)
La (0.5000, 0.0000, 0.5000)
La (0.5000, 0.0000, 0.6975)
La (0.5000, 0.0000, 0.8960)
Nd (0.5000, 0.5000, 0.0000)
Cd (0.5000, 0.5000, 0.2047)
Cd (0.5000, 0.5000, 0.4013)
Cd (0.5000, 0.5000, 0.5987)
Cd (0.5000, 0.5000, 0.7953)

Summary:
- Fermi-level density of states (states/eV per cell) = 29.5
- energy of formation from the pure elements (eV per atom) = -0.0993
- calculated total energy (eV/atom) = -4.216

***

No. 9
Entry from the Alexandria database: crystalline BaAgSbI2 at its relaxed geometry (GGA-PBE).

Lattice parameters (Å, degrees): 5.8221 5.8221 5.5665 90.00 90.00 90.00
Element x y z (fractional)
Ba (0.0000, 0.0000, 0.0000)
Ag (0.5000, 0.5000, 0.5000)
Sb (0.5000, 0.5000, 0.0000)
I (0.0000, 0.5000, 0.5000)
I (0.5000, 0.0000, 0.5000)

Summary:
- Fermi-level density of states (states/eV per cell) = 3.2
- E above lowest polymorph (meV per atom) = 0
- formation energy from raw total energies (eV per atom) = -0.472
- calculated total energy (eV/atom) = -2.871

***

No. 10
Entry from the Alexandria database: crystalline DySi3Rh3 at its relaxed geometry (GGA-PBE).

Lattice parameters (Å, degrees): 6.4785 6.4785 6.4785 90.00 90.00 90.00
Element x y z (fractional)
Dy (0.0000, 0.0000, 0.0000)
Dy (0.5000, 0.5000, 0.5000)
Si (0.0000, 0.2500, 0.5000)
Si (0.0000, 0.7500, 0.5000)
Si (0.2500, 0.5000, 0.0000)
Si (0.5000, 0.0000, 0.2500)
Si (0.5000, 0.0000, 0.7500)
Si (0.7500, 0.5000, 0.0000)
Rh (0.0000, 0.5000, 0.2500)
Rh (0.0000, 0.5000, 0.7500)
Rh (0.2500, 0.0000, 0.5000)
Rh (0.5000, 0.2500, 0.0000)
Rh (0.5000, 0.7500, 0.0000)
Rh (0.7500, 0.0000, 0.5000)

Summary:
- Fermi-level density of states (states/eV per cell) = 11.1
- E above lowest polymorph (meV per atom) = 266
- formation energy from raw total energies (eV per atom) = -0.481
- calculated total energy (eV/atom) = -6.614

***

No. 11
Entry from the Alexandria database: crystalline Ta2PtAu at its relaxed geometry (GGA-PBE).

Lattice parameters (Å, degrees): 2.8621 2.8621 8.3233 90.00 90.00 90.00
Element x y z (fractional)
Ta (0.0000, 0.0000, 0.2441)
Ta (0.0000, 0.0000, 0.7559)
Pt (0.5000, 0.5000, 0.0000)
Au (0.5000, 0.5000, 0.5000)

Summary:
- Fermi-level density of states (states/eV per cell) = 1.8
- energy of formation from the pure elements (eV per atom) = -0.3325
- calculated total energy (eV/atom) = -8.588

***

No. 12
Entry from the Alexandria database: crystalline DyTm7Co2 at its relaxed geometry (GGA-PBE).

Lattice parameters (Å, degrees): 7.9891 7.9891 5.0544 90.00 90.00 115.02
Element x y z (fractional)
Dy (0.0000, 0.0000, 0.0000)
Tm (0.0584, 0.3293, 0.5000)
Tm (0.2976, 0.7024, 0.0000)
Tm (0.3293, 0.0584, 0.5000)
Tm (0.5000, 0.5000, 0.5000)
Tm (0.6707, 0.9416, 0.5000)
Tm (0.7024, 0.2976, 0.0000)
Tm (0.9416, 0.6707, 0.5000)
Co (0.2951, 0.7049, 0.5000)
Co (0.7049, 0.2951, 0.5000)

Summary:
- Fermi-level density of states (states/eV per cell) = 11.4
- energy of formation from the pure elements (eV per atom) = 0.0696
- calculated total energy (eV/atom) = -4.942